Model P:
VASP calculation (PBE) on a relaxed structure of BaLiGa2.

Geometry as POSCAR:
```
BaLiGa2
1.0
4.493 0.000 0.000
2.247 3.891 0.000
2.247 1.297 6.072
Ba Ga Li
1 2 1
Cartesian
0.000 0.000 0.000 Ba
6.740 3.891 3.583 Ga
2.247 1.297 2.490 Ga
4.493 2.594 3.036 Li
```

Model Q:
VASP calculation (PBE) on a relaxed structure of BaLiGa2.

Geometry as POSCAR:
```
BaLiGa2
1.0
7.252 0.000 0.000
0.000 7.944 0.000
0.000 0.000 7.364
Ba Li Ga
4 4 8
Cartesian
5.439 0.113 2.691 Ba
5.439 4.085 0.991 Ba
1.813 7.830 4.673 Ba
1.813 3.859 6.373 Ba
5.439 6.663 6.095 Li
5.439 2.692 4.952 Li
1.813 1.280 1.270 Li
1.813 5.252 2.412 Li
6.721 5.085 4.125 Ga
4.157 1.113 6.922 Ga
3.095 2.859 3.240 Ga
0.531 6.831 0.443 Ga
0.531 2.859 3.240 Ga
3.095 6.831 0.443 Ga
4.157 5.085 4.125 Ga
6.721 1.113 6.922 Ga
```

Model R:
VASP calculation (PBE) on a relaxed structure of BaLiGa2.

Geometry as POSCAR:
```
BaLiGa2
1.0
-2.835 -0.354 2.238
0.658 -3.558 0.270
4.480 1.274 5.878
Ba Ga Li
1 2 1
Cartesian
1.152 -1.319 4.193 Ba
3.692 1.050 4.843 Ga
0.788 0.224 1.034 Ga
-1.088 -1.956 1.254 Li
```

Model S:
VASP calculation (PBE) on a relaxed structure of BaLiGa2.

Geometry as POSCAR:
```
BaLiGa2
1.0
5.055 0.000 0.000
0.000 5.055 0.000
2.528 2.528 9.318
Ba Ga Li
2 4 2
Cartesian
0.000 0.000 0.000 Ba
5.055 2.528 4.659 Ba
2.536 1.264 2.329 Ga
2.519 3.791 2.329 Ga
3.791 5.047 6.988 Ga
6.319 5.064 6.988 Ga
2.528 2.528 0.000 Li
2.528 5.055 4.659 Li
```

Energy ordering: model P at the bottom, the next structure 48 meV per atom above.

Model P:
VASP calculation (PBE) on a relaxed structure of Ba3LiGa.

Geometry as POSCAR:
```
Ba3LiGa
1.0
5.070 0.000 -0.020
0.000 10.422 0.000
0.030 0.000 7.922
Ba Li Ga
6 2 2
Cartesian
1.277 0.372 2.488 Ba
3.823 10.050 5.415 Ba
1.277 4.839 2.488 Ba
3.823 5.583 5.415 Ba
3.803 2.606 0.163 Ba
1.297 7.817 7.740 Ba
1.288 2.606 5.302 Li
3.812 7.817 2.601 Li
3.817 2.606 3.745 Ga
1.283 7.817 4.158 Ga
```

Model Q:
VASP calculation (PBE) on a relaxed structure of Ba3LiGa.

Geometry as POSCAR:
```
Ba3LiGa
1.0
-5.605 3.009 1.565
-3.376 -4.656 -3.137
-0.328 -3.491 5.534
Ba Ga Li
3 1 1
Cartesian
-1.688 -2.328 -1.569 Ba
-0.164 -1.745 2.767 Ba
-2.802 1.504 0.783 Ba
0.000 0.000 0.000 Ga
-4.654 -2.569 1.981 Li
```

Energy ordering: model P at the bottom, the next structure 132 meV per atom above.